Computed, not measured: a geometry-optimized TlMo2Au structure at the PBE level of DFT.

CIF file:
```
data_TlMo2Au
_space_group_name_H-M_alt 'I -4 2 d'
_space_group_IT_number 122
_space_group_name_Hall 'I -4 2bw'
_cell_length_a 7.556
_cell_length_b 7.556
_cell_length_c 5.522
_cell_angle_alpha 90.00
_cell_angle_beta 90.00
_cell_angle_gamma 90.00
loop_
_atom_site_label
_atom_site_type_symbol
_atom_site_fract_x
_atom_site_fract_y
_atom_site_fract_z
Tl1 Tl 0.000 0.000 0.000
Mo1 Mo 0.238 0.250 0.625
Au1 Au 0.000 0.000 0.500
```

* density: 12.50 Mg/m³
* N(E_F): 19.9 states/eV/cell
* ΔH_f (0 K): 1.06 eV/atom
* distance to the lowest polymorph of the same formula: 672.3 meV per atom